(1)
This record from Alexandria via LeMat-Bulk describes a relaxed structure of SbTeAs2Pt. The functional is GGA-PBE.

Crystal system   tetragonal
Formation energy (no corrections)   0.898 eV per atom

a = 5.313 Å, b = 5.313 Å, c = 4.945 Å
α = 90.00°, β = 90.00°, γ = 90.00°
Space group P4/mmm (No. 123)
Asymmetric unit:
Sb 0.000 0.000 0.000
Te 0.500 0.500 0.500
As 0.000 0.500 0.500
Pt 0.500 0.500 0.000


(2)
This record from Alexandria via LeMat-Bulk describes a relaxed structure of Sb2TeAsPt. The functional is GGA-PBE.

Crystal system   tetragonal
Formation energy (no corrections)   0.543 eV per atom
ΔE to the lowest computed polymorph   0 meV/atom

a = 5.165 Å, b = 5.165 Å, c = 5.459 Å
α = 90.00°, β = 90.00°, γ = 90.00°
Space group P4/mmm (No. 123)
Asymmetric unit:
Sb 0.000 0.500 0.000
Te 0.000 0.000 0.500
As 0.500 0.500 0.500
Pt 0.000 0.000 0.000


(3)
This record from Alexandria via LeMat-Bulk describes a relaxed structure of TiSbAsPt2. The functional is GGA-PBE.

Crystal system   tetragonal
Formation energy (no corrections)   0.109 eV per atom

a = 4.692 Å, b = 4.692 Å, c = 4.769 Å
α = 90.00°, β = 90.00°, γ = 90.00°
Space group P4/mmm (No. 123)
Asymmetric unit:
Ti 0.000 0.000 0.000
Sb 0.500 0.500 0.000
As 0.000 0.000 0.500
Pt 0.000 0.500 0.500


(4)
This record from Alexandria via LeMat-Bulk describes a relaxed structure of YSb2AsPt. The functional is GGA-PBE.

Crystal system   tetragonal
Formation energy (no corrections)   0.920 eV per atom

a = 5.687 Å, b = 5.687 Å, c = 5.255 Å
α = 90.00°, β = 90.00°, γ = 90.00°
Space group P4/mmm (No. 123)
Asymmetric unit:
Y 0.000 0.000 0.000
Sb 0.000 0.500 0.000
As 0.000 0.000 0.500
Pt 0.500 0.500 0.500


(5)
This record from Alexandria via LeMat-Bulk describes a relaxed structure of Zr2SbAsPt. The functional is GGA-PBE.

Crystal system   tetragonal
Formation energy (no corrections)   0.072 eV per atom

a = 5.315 Å, b = 5.315 Å, c = 4.481 Å
α = 90.00°, β = 90.00°, γ = 90.00°
Space group P4/mmm (No. 123)
Asymmetric unit:
Zr 0.000 0.500 0.000
Sb 0.000 0.000 0.500
As 0.500 0.500 0.500
Pt 0.500 0.500 0.000


(6)
This record from Alexandria via LeMat-Bulk describes a relaxed structure of Sc4AsPt. The functional is GGA-PBE.

Crystal system   cubic
Energy relative to the elements   0.061 eV/atom

a = 7.883 Å, b = 7.883 Å, c = 7.883 Å
α = 90.00°, β = 90.00°, γ = 90.00°
Space group F-43m (No. 216)
Asymmetric unit:
Sc 0.125 0.125 0.125
As 0.250 0.250 0.750
Pt 0.000 0.000 0.500


Number 1: density of states at the Fermi level 5.64 states/eV per cell, magnetic moment 0.0000 μB per atom. Number 2: density of states at the Fermi level 4.69 states/eV per cell, magnetic moment 0.0000 μB per atom. Number 3: density of states at the Fermi level 2.44 states/eV per cell, magnetic moment 0.0000 μB per atom. Number 4: density of states at the Fermi level 3.89 states/eV per cell, magnetic moment 0.0000 μB per atom. Number 5: density of states at the Fermi level 6.55 states/eV per cell, magnetic moment 0.0000 μB per atom. Number 6: density of states at the Fermi level 31.01 states/eV per cell, magnetic moment 0.2043 μB per atom.